# LiHf3Ti GGA-PBE optimized geometry
# ρ	9.42	g/cm3
# distance to the lowest polymorph of the same formula	0.000	eV/atom
# energy of formation from the pure elements	0.91	eV/atom
# total magnetization	0.584	μB per atom
data_LiHf3Ti
_cell_length_a 4.703
_cell_length_b 4.703
_cell_length_c 4.703
_cell_angle_alpha 90.00
_cell_angle_beta 90.00
_cell_angle_gamma 90.00
_space_group_name_H-M_alt 'P m -3 m'
_space_group_IT_number 221
_space_group_name_Hall '-P 4 2 3'
loop_
_atom_site_label
_atom_site_fract_x
_atom_site_fract_y
_atom_site_fract_z
Li1 0.000 0.000 0.000
Hf1 0.000 0.000 0.500
Ti1 0.500 0.500 0.500

# HfMg2Hg3 GGA-PBE optimized geometry
# ρ	10.91	g/cm3
# energy of formation from the pure elements	-0.15	eV/atom
# total magnetization	0.000	μB per atom
data_HfMg2Hg3
_cell_length_a 3.249
_cell_length_b 3.249
_cell_length_c 11.947
_cell_angle_alpha 90.00
_cell_angle_beta 90.00
_cell_angle_gamma 90.00
_space_group_name_H-M_alt 'P 4/m m m'
_space_group_IT_number 123
_space_group_name_Hall '-P 4 2'
loop_
_atom_site_label
_atom_site_fract_x
_atom_site_fract_y
_atom_site_fract_z
Hf1 0.000 0.000 0.000
Mg1 0.000 0.000 0.336
Hg1 0.500 0.500 0.170
Hg2 0.500 0.500 0.500

# Se2SF GGA-PBE optimized geometry
# ρ	5.39	g/cm3
# distance to the lowest polymorph of the same formula	0.263	eV/atom
# total magnetization	0.000	μB per atom
data_Se2SF
_cell_length_a 6.364
_cell_length_b 6.364
_cell_length_c 6.364
_cell_angle_alpha 90.00
_cell_angle_beta 90.00
_cell_angle_gamma 90.00
_space_group_name_H-M_alt 'F m -3 m'
_space_group_IT_number 225
_space_group_name_Hall '-F 4 2 3'
loop_
_atom_site_label
_atom_site_fract_x
_atom_site_fract_y
_atom_site_fract_z
Se1 0.250 0.250 0.250
S1 0.000 0.000 0.000
F1 0.000 0.000 0.500

# Na2SnHg3 GGA-PBE optimized geometry
# ρ	8.30	g/cm3
# energy of formation from the pure elements	-0.20	eV/atom
# total magnetization	0.000	μB per atom
data_Na2SnHg3
_cell_length_a 6.786
_cell_length_b 10.191
_cell_length_c 17.734
_cell_angle_alpha 90.00
_cell_angle_beta 90.00
_cell_angle_gamma 90.00
_space_group_name_H-M_alt 'F m m m'
_space_group_IT_number 69
_space_group_name_Hall '-F 2 2'
loop_
_atom_site_label
_atom_site_fract_x
_atom_site_fract_y
_atom_site_fract_z
Na1 0.244 0.000 0.000
Na2 0.250 0.250 0.250
Sn1 0.000 0.000 0.336
Hg1 0.000 0.000 0.168
Hg2 0.000 0.248 0.084

# AcZr2ZnN4 GGA-PBE optimized geometry
# ρ	7.99	g/cm3
# total magnetization	0.000	μB per atom
# energy	-260.41	eV for the cell shown
data_AcZr2ZnN4
_cell_length_a 3.408
_cell_length_b 11.341
_cell_length_c 11.427
_cell_angle_alpha 90.00
_cell_angle_beta 90.00
_cell_angle_gamma 90.00
_space_group_name_H-M_alt 'C m c m'
_space_group_IT_number 63
_space_group_name_Hall '-C 2c 2'
loop_
_atom_site_label
_atom_site_fract_x
_atom_site_fract_y
_atom_site_fract_z
Ac1 0.000 0.106 0.250
Zr1 0.000 0.371 0.045
Zn1 0.000 0.163 0.750
N1 0.000 0.000 0.000
N2 0.000 0.269 0.610
N3 0.000 0.432 0.250

# CaHfTaMn2 GGA-PBE optimized geometry
# ρ	6.92	g/cm3
# distance to the lowest polymorph of the same formula	0.000	eV/atom
# energy of formation from the pure elements	1.20	eV/atom
# total magnetization	1.113	μB per atom
data_CaHfTaMn2
_cell_length_a 4.924
_cell_length_b 4.924
_cell_length_c 5.045
_cell_angle_alpha 90.00
_cell_angle_beta 90.00
_cell_angle_gamma 90.00
_space_group_name_H-M_alt 'P 4/m m m'
_space_group_IT_number 123
_space_group_name_Hall '-P 4 2'
loop_
_atom_site_label
_atom_site_fract_x
_atom_site_fract_y
_atom_site_fract_z
Ca1 0.000 0.000 0.000
Hf1 0.500 0.500 0.500
Ta1 0.500 0.500 0.000
Mn1 0.000 0.500 0.500